The following is a PBE calculation of a relaxed structure of LiTcMoIr, from Alexandria.

Values from the calculation:
**Energy of formation**: -0.05 eV/atom

POSCAR file:
```
LiTcMoIr
1.0
0.000 3.044 3.044
3.044 0.000 3.044
3.044 3.044 0.000
Li Tc Mo Ir
1 1 1 1
direct
0.000 0.000 0.000 Li
0.250 0.250 0.250 Tc
0.500 0.500 0.500 Mo
0.750 0.750 0.750 Ir
```


The following is a PBE calculation of a relaxed structure of TbDyMgSc, from Alexandria.

Values from the calculation:
**Distance to the lowest polymorph of the same formula**: 0 meV per atom
**Energy of formation**: -0.01 eV/atom

POSCAR file:
```
TbDyMgSc
1.0
3.492 0.000 0.000
0.000 3.492 0.000
-0.022 0.000 9.067
Tb Dy Mg Sc
1 1 1 1
direct
0.000 0.000 0.000 Tb
0.499 0.500 0.722 Dy
0.000 0.000 0.473 Mg
0.500 0.500 0.255 Sc
```


The following is a PBE calculation of a relaxed structure of CePm4Er3, from Alexandria.

Values from the calculation:
**Energy of formation**: 0.19 eV/atom

POSCAR file:
```
CePm4Er3
1.0
11.770 -1.715 0.000
11.770 1.715 0.000
-1.960 0.000 6.536
Ce Pm Er
1 4 3
direct
0.000 0.000 0.000 Ce
0.241 0.241 0.236 Pm
0.377 0.377 0.634 Pm
0.623 0.623 0.366 Pm
0.759 0.759 0.764 Pm
0.377 0.377 0.119 Er
0.500 0.500 0.500 Er
0.623 0.623 0.881 Er
```


The following is a PBE calculation of a relaxed structure of Dy3ErHg, from Alexandria.

Values from the calculation:
**Energy of formation**: -0.12 eV/atom

POSCAR file:
```
Dy3ErHg
1.0
5.561 -3.668 0.000
5.561 3.668 0.000
-2.764 0.000 7.373
Dy Er Hg
6 2 2
direct
0.060 0.060 0.239 Dy
0.091 0.590 0.360 Dy
0.410 0.909 0.640 Dy
0.590 0.091 0.360 Dy
0.909 0.410 0.640 Dy
0.940 0.940 0.761 Dy
0.439 0.439 0.759 Er
0.561 0.561 0.241 Er
0.253 0.253 0.000 Hg
0.747 0.747 0.000 Hg
```


The following is a PBE calculation of a relaxed structure of Sr2CaGeH, from Alexandria.

Values from the calculation:
**DFT total energy**: -2.98 eV per atom

POSCAR file:
```
Sr2CaGeH
1.0
5.087 0.000 0.000
0.000 5.087 0.000
0.000 0.000 5.011
Sr Ca Ge H
2 1 1 1
direct
0.000 0.500 0.000 Sr
0.500 0.000 0.000 Sr
0.000 0.000 0.500 Ca
0.500 0.500 0.500 Ge
0.000 0.000 0.000 H
```


The following is a PBE calculation of a relaxed structure of Er2Tc3Ge4, from Alexandria.

Values from the calculation:
**Distance to the lowest polymorph of the same formula**: 183 meV per atom
**Energy of formation**: -0.39 eV/atom

POSCAR file:
```
Er2Tc3Ge4
1.0
0.000 4.686 6.462
2.718 0.000 6.462
2.718 4.686 0.000
Er Tc Ge
2 3 4
direct
0.134 0.134 0.866 Er
0.866 0.866 0.134 Er
0.000 0.000 0.500 Tc
0.500 0.500 0.000 Tc
0.500 0.500 0.500 Tc
0.174 0.503 0.497 Ge
0.497 0.826 0.174 Ge
0.503 0.174 0.826 Ge
0.826 0.497 0.503 Ge
```


The following is a PBE calculation of a relaxed structure of CoNiGe2, from Alexandria.

Values from the calculation:
**Energy of formation**: -0.03 eV/atom

POSCAR file:
```
CoNiGe2
1.0
0.000 2.942 2.942
2.942 0.000 2.942
2.942 2.942 0.000
Co Ni Ge
1 1 2
direct
0.000 0.000 0.000 Co
0.500 0.500 0.500 Ni
0.250 0.250 0.250 Ge
0.750 0.750 0.750 Ge
```


The following is a PBE calculation of a relaxed structure of La5DySb6, from Alexandria.

Values from the calculation:
**Formation energy from raw total energies**: -120 kJ/mol of atoms

POSCAR file:
```
La5DySb6
1.0
3.973 -6.883 0.000
3.973 6.883 0.000
-2.653 0.000 7.491
La Dy Sb
5 1 6
direct
0.000 0.000 0.000 La
0.166 0.834 0.500 La
0.331 0.669 0.000 La
0.669 0.331 0.000 La
0.834 0.166 0.500 La
0.500 0.500 0.500 Dy
0.092 0.419 0.255 Sb
0.257 0.257 0.747 Sb
0.419 0.092 0.255 Sb
0.581 0.908 0.745 Sb
0.743 0.743 0.253 Sb
0.908 0.581 0.745 Sb
```


The following is a PBE calculation of a relaxed structure of ReMoPt2, from Alexandria.

Values from the calculation:
**Distance to the lowest polymorph of the same formula**: 93 meV per atom
**Energy of formation**: -0.06 eV/atom

POSCAR file:
```
ReMoPt2
1.0
1.388 0.801 9.259
-1.388 0.801 9.259
0.000 -1.603 9.259
Re Mo Pt
1 1 2
direct
0.000 0.000 0.000 Re
0.249 0.249 0.249 Mo
0.501 0.501 0.501 Pt
0.747 0.747 0.747 Pt
```


The following is a PBE calculation of a relaxed structure of LiTiSe2Br, from Alexandria.

Values from the calculation:
**Formation energy from raw total energies**: -79 kJ/mol of atoms
**Distance to the lowest polymorph of the same formula**: 0 meV per atom

POSCAR file:
```
LiTiSe2Br
1.0
4.932 0.000 0.000
0.000 4.932 0.000
0.000 0.000 5.342
Li Ti Se Br
1 1 2 1
direct
0.000 0.000 0.000 Li
0.500 0.500 0.500 Ti
0.000 0.500 0.500 Se
0.500 0.000 0.500 Se
0.500 0.500 0.000 Br
```


The following is a PBE calculation of a relaxed structure of TaRhF3, from Alexandria.

Values from the calculation:
**Formation energy from raw total energies**: -97 kJ/mol of atoms
**Distance to the lowest polymorph of the same formula**: 0 meV per atom

POSCAR file:
```
TaRhF3
1.0
4.129 0.000 0.000
0.000 4.129 0.000
0.000 0.000 4.129
Ta Rh F
1 1 3
direct
0.000 0.000 0.000 Ta
0.500 0.500 0.500 Rh
0.000 0.000 0.500 F
0.000 0.500 0.000 F
0.500 0.000 0.000 F
```


The following is a PBE calculation of a relaxed structure of VPt2I, from Alexandria.

Values from the calculation:
**Formation energy from raw total energies**: 35 kJ/mol of atoms
**Distance to the lowest polymorph of the same formula**: 0 meV per atom

POSCAR file:
```
VPt2I
1.0
-3.283 3.283 4.397
3.283 -3.283 4.397
3.283 3.283 -4.397
V Pt I
2 4 2
direct
0.000 0.000 0.000 V
0.750 0.250 0.500 V
0.075 0.625 0.950 Pt
0.375 0.325 0.450 Pt
0.675 0.125 0.050 Pt
0.875 0.925 0.550 Pt
0.250 0.750 0.500 I
0.500 0.500 0.000 I
```


The following is a PBE calculation of a relaxed structure of CsPrS14, from Alexandria.

Values from the calculation:
**Formation energy from raw total energies**: -29 kJ/mol of atoms

POSCAR file:
```
CsPrS14
1.0
10.560 -6.943 0.000
10.560 6.943 0.000
-2.992 0.000 7.547
Cs Pr S
2 2 28
direct
0.181 0.181 0.323 Cs
0.819 0.819 0.677 Cs
0.500 0.500 0.000 Pr
0.500 0.500 0.500 Pr
0.072 0.837 0.378 S
0.077 0.907 0.197 S
0.093 0.923 0.803 S
0.139 0.282 0.938 S
0.163 0.928 0.622 S
0.255 0.417 0.692 S
0.257 0.414 0.199 S
0.282 0.139 0.938 S
0.306 0.544 0.180 S
0.308 0.548 0.686 S
0.414 0.257 0.199 S
0.417 0.255 0.692 S
0.452 0.692 0.314 S
0.456 0.694 0.820 S
0.544 0.306 0.180 S
0.548 0.308 0.686 S
0.583 0.745 0.308 S
0.586 0.743 0.801 S
0.692 0.452 0.314 S
0.694 0.456 0.820 S
0.718 0.861 0.062 S
0.743 0.586 0.801 S
0.745 0.583 0.308 S
0.837 0.072 0.378 S
0.861 0.718 0.062 S
0.907 0.077 0.197 S
0.923 0.093 0.803 S
0.928 0.163 0.622 S
```


The following is a PBE calculation of a relaxed structure of Ce3Te2N2, from Alexandria.

Values from the calculation:
**Formation energy from raw total energies**: -147 kJ/mol of atoms
**Distance to the lowest polymorph of the same formula**: 0 meV per atom

POSCAR file:
```
Ce3Te2N2
1.0
6.367 -2.029 0.000
6.367 2.029 0.000
-4.306 0.000 6.564
Ce Te N
3 2 2
direct
0.000 0.000 0.000 Ce
0.194 0.194 0.774 Ce
0.806 0.806 0.226 Ce
0.425 0.425 0.645 Te
0.575 0.575 0.355 Te
0.200 0.200 0.073 N
0.800 0.800 0.927 N
```


The following is a PBE calculation of a relaxed structure of Ti2SnOs, from Alexandria.

Values from the calculation:
**Energy of formation**: 0.12 eV/atom

POSCAR file:
```
Ti2SnOs
1.0
-3.703 3.703 2.782
3.703 -3.703 2.782
3.703 3.703 -2.782
Ti Sn Os
4 2 2
direct
0.072 0.125 0.447 Ti
0.375 0.928 0.053 Ti
0.678 0.625 0.553 Ti
0.875 0.322 0.947 Ti
0.250 0.750 0.500 Sn
0.500 0.500 0.000 Sn
0.000 0.000 0.000 Os
0.750 0.250 0.500 Os
```


The following is a PBE calculation of a relaxed structure of HfZn5Pd4, from Alexandria.

Values from the calculation:
**Energy of formation**: -0.47 eV/atom

POSCAR file:
```
HfZn5Pd4
1.0
3.134 0.000 0.000
0.000 3.134 0.000
0.000 0.000 15.438
Hf Zn Pd
1 5 4
direct
0.000 0.000 0.000 Hf
0.500 0.500 0.119 Zn
0.500 0.500 0.307 Zn
0.500 0.500 0.500 Zn
0.500 0.500 0.693 Zn
0.500 0.500 0.881 Zn
0.000 0.000 0.212 Pd
0.000 0.000 0.404 Pd
0.000 0.000 0.596 Pd
0.000 0.000 0.788 Pd
```


The following is a PBE calculation of a relaxed structure of Tb3Sm6Sc2, from Alexandria.

Values from the calculation:
**Distance to the lowest polymorph of the same formula**: 104 meV per atom
**Energy of formation**: 0.30 eV/atom

POSCAR file:
```
Tb3Sm6Sc2
1.0
-2.376 2.376 16.134
2.376 -2.376 16.134
2.376 2.376 -16.134
Tb Sm Sc
3 6 2
direct
0.000 0.000 0.000 Tb
0.198 0.198 0.000 Tb
0.802 0.802 0.000 Tb
0.115 0.615 0.500 Sm
0.304 0.304 0.000 Sm
0.385 0.885 0.500 Sm
0.615 0.115 0.500 Sm
0.696 0.696 0.000 Sm
0.885 0.385 0.500 Sm
0.457 0.457 0.000 Sc
0.543 0.543 0.000 Sc
```


The following is a PBE calculation of a relaxed structure of Pa5In, from Alexandria.

Values from the calculation:
**Distance to the lowest polymorph of the same formula**: 8 meV per atom
**Energy of formation**: 0.01 eV/atom

POSCAR file:
```
Pa5In
1.0
3.179 0.000 0.000
-1.590 2.753 0.000
0.000 0.000 17.099
Pa In
5 1
direct
0.000 0.000 0.000 Pa
0.000 0.000 0.334 Pa
0.000 0.000 0.666 Pa
0.333 0.667 0.166 Pa
0.333 0.667 0.834 Pa
0.333 0.667 0.500 In
```


The following is a PBE calculation of a relaxed structure of TcOsRh2, from Alexandria.

Values from the calculation:
**Distance to the lowest polymorph of the same formula**: 600 meV per atom
**Energy of formation**: 0.54 eV/atom

POSCAR file:
```
TcOsRh2
1.0
0.000 3.084 3.084
3.084 0.000 3.084
3.084 3.084 0.000
Tc Os Rh
1 1 2
direct
0.000 0.000 0.000 Tc
0.500 0.500 0.500 Os
0.250 0.250 0.250 Rh
0.750 0.750 0.750 Rh
```


The following is a PBE calculation of a relaxed structure of TbNp2PdS5, from Alexandria.

Values from the calculation:
**Formation energy from raw total energies**: -131 kJ/mol of atoms

POSCAR file:
```
TbNp2PdS5
1.0
1.897 -8.166 0.000
1.897 8.166 0.000
0.000 0.000 11.789
Tb Np Pd S
2 4 2 10
direct
0.178 0.822 0.500 Tb
0.822 0.178 0.000 Tb
0.107 0.893 0.825 Np
0.119 0.881 0.170 Np
0.881 0.119 0.670 Np
0.893 0.107 0.325 Np
0.446 0.554 0.894 Pd
0.554 0.446 0.394 Pd
0.005 0.995 0.497 S
0.304 0.696 0.167 S
0.307 0.693 0.825 S
0.344 0.656 0.496 S
0.495 0.505 0.214 S
0.505 0.495 0.714 S
0.656 0.344 0.996 S
0.693 0.307 0.325 S
0.696 0.304 0.667 S
0.995 0.005 0.997 S
```


The following is a PBE calculation of a relaxed structure of BaPm2IO8, from Alexandria.

Values from the calculation:
**Formation energy from raw total energies**: -194 kJ/mol of atoms

POSCAR file:
```
BaPm2IO8
1.0
4.671 0.000 0.000
0.395 5.377 0.000
2.273 -0.111 6.864
Ba Pm I O
1 2 1 8
direct
0.000 0.000 0.000 Ba
0.352 0.518 0.284 Pm
0.648 0.482 0.716 Pm
0.500 0.000 0.500 I
0.201 0.267 0.603 O
0.245 0.747 0.616 O
0.247 0.499 0.999 O
0.397 0.983 0.264 O
0.603 0.017 0.736 O
0.753 0.501 0.001 O
0.755 0.253 0.384 O
0.799 0.733 0.397 O
```


The following is a PBE calculation of a relaxed structure of TcTeIN2, from Alexandria.

Values from the calculation:
**Formation energy from raw total energies**: 182 kJ/mol of atoms
**Distance to the lowest polymorph of the same formula**: 1025 meV per atom

POSCAR file:
```
TcTeIN2
1.0
4.019 0.000 0.000
0.000 4.019 0.000
0.000 0.000 7.381
Tc Te I N
1 1 1 2
direct
0.000 0.000 0.000 Tc
0.500 0.500 0.500 Te
0.500 0.500 0.000 I
0.000 0.500 0.500 N
0.500 0.000 0.500 N
```


The following is a PBE calculation of a relaxed structure of BaOsW2, from Alexandria.

Values from the calculation:
**Distance to the lowest polymorph of the same formula**: 323 meV per atom
**Energy of formation**: 1.12 eV/atom

POSCAR file:
```
BaOsW2
1.0
1.479 0.854 10.473
-1.479 0.854 10.473
0.000 -1.707 10.473
Ba Os W
1 1 2
direct
0.000 0.000 0.000 Ba
0.500 0.500 0.500 Os
0.234 0.234 0.234 W
0.766 0.766 0.766 W
```


The following is a PBE calculation of a relaxed structure of Pm2NdMg6, from Alexandria.

Values from the calculation:
**Energy of formation**: -0.10 eV/atom

POSCAR file:
```
Pm2NdMg6
1.0
9.200 0.000 0.000
-4.600 7.968 0.000
0.000 0.000 3.330
Pm Nd Mg
2 1 6
direct
0.333 0.667 0.000 Pm
0.667 0.333 0.000 Pm
0.000 0.000 0.000 Nd
0.000 0.334 0.500 Mg
0.000 0.666 0.500 Mg
0.334 0.000 0.500 Mg
0.334 0.334 0.500 Mg
0.666 0.000 0.500 Mg
0.666 0.666 0.500 Mg
```


no.,magnetization (μB per formula unit)
1,0.0
2,0.0
3,1.0
4,0.0
5,0.0
6,0.0
7,0.0
8,0.0
9,0.0
10,0.0
11,0.0
12,0.0
13,0.0
14,2.0
15,0.0
16,0.0
17,0.0
18,0.0
19,0.0
20,7.1
21,0.2
22,3.5
23,0.0
24,0.0